Density functional theory data (SCAN) for a PBEsol-optimized structure of Li4Cr5O10.

* raw formation energy: -2.468 eV per atom
* symmetry: No. 2
* crystal system: triclinic

Cell and atoms, written as POSCAR:
```
Li4Cr5O10
1.0
6.487 -0.025 -0.005
1.979 6.177 -0.020
1.325 0.282 8.594
Li Cr O
8 10 20
direct
0.145 0.808 0.547
0.542 0.612 0.347
0.458 0.388 0.653
0.354 0.192 0.953
0.855 0.192 0.453
0.042 0.613 0.847
0.958 0.387 0.153
0.646 0.808 0.047
0.595 0.198 0.201
0.699 0.395 0.899
0.199 0.395 0.399
0.000 0.000 0.000
0.095 0.199 0.701
0.801 0.605 0.601
0.405 0.802 0.799
0.500 0.000 0.500
0.301 0.605 0.101
0.905 0.801 0.299
0.716 0.680 0.820
0.906 0.090 0.217
0.614 0.489 0.119
0.317 0.888 0.012
0.817 0.888 0.512
0.216 0.680 0.320
0.386 0.511 0.881
0.987 0.711 0.079
0.784 0.320 0.680
0.487 0.712 0.579
0.183 0.112 0.488
0.094 0.910 0.783
0.683 0.112 0.988
0.406 0.090 0.717
0.013 0.289 0.921
0.513 0.288 0.421
0.114 0.489 0.619
0.886 0.511 0.381
0.594 0.910 0.283
0.284 0.320 0.180
```